## Dy2TlAg (GGA-PBEsol)

Data for Dy2TlAg after structural relaxation.

Geometry as CIF:
```
data_Dy2TlAg
_chemical_formula_sum 'Dy8 Tl4 Ag4'
_cell_length_a 7.3052
_cell_length_b 7.3052
_cell_length_c 7.3052
_cell_angle_alpha 90.00
_cell_angle_beta 90.00
_cell_angle_gamma 90.00
_symmetry_space_group_name_H-M 'F m -3 m'
_symmetry_Int_Tables_number 225
_symmetry_space_group_name_Hall '-F 4 2 3'
loop_
_atom_site_label
_atom_site_fract_x
_atom_site_fract_y
_atom_site_fract_z
Dy1 0.2500 0.2500 0.2500
Tl1 0.0000 0.0000 0.0000
Ag1 0.0000 0.0000 0.5000
```

Values from the calculation:
Volume (Å³/atom): 24.37
DOS at the Fermi energy (states/eV/atom): 0.695
Size of the total moment (μB/cell): 0.0
Energy of formation (meV per atom): -377